# LiY4Zn3

A relaxed LiY4Zn3 crystal (PBE-GGA, Alexandria via LeMat-Bulk).

For the formation energy, the calculation gives -0.26 eV per atom. The value obtained for the magnetization is 0.0 μB per cell.

It has space group I4/mmm (No. 139), with a = 5.0949 Å, b = 5.0949 Å, c = 14.3756 Å, α = 90.00°, β = 90.00° and γ = 90.00°. The inequivalent atoms are Li at (0.0000, 0.0000, 0.0000), Y at (0.0000, 0.5000, 0.1276), Zn at (0.0000, 0.0000, 0.2478) and Zn at (0.0000, 0.0000, 0.5000).

=====

# Pr3Nd2Tm2

A relaxed Pr3Nd2Tm2 crystal (PBE-GGA, Alexandria via LeMat-Bulk).

For the formation energy, the calculation gives 0.02 eV per atom. The value obtained for the energy above the most stable polymorph in this dataset is 0.000 eV per atom. The value obtained for the magnetization is 0.0 μB per cell.

It has space group P-1 (No. 2), with a = 3.6513 Å, b = 6.2918 Å, c = 10.9053 Å, α = 95.62°, β = 90.06° and γ = 106.81°. The inequivalent atoms are Pr at (0.0000, 0.0000, 0.0000), Pr at (0.1409, 0.2834, 0.5702), Nd at (0.2836, 0.5672, 0.1442) and Tm at (0.4294, 0.8583, 0.7138).

=====

# NpCu2I6Br

A relaxed NpCu2I6Br crystal (PBE-GGA, Alexandria via LeMat-Bulk).

The value obtained for the magnetization is 7.7 μB per cell. The uncorrected formation energy is -0.480 eV/atom.

It has space group C2/c (No. 15), with a = 17.2790 Å, b = 13.3766 Å, c = 8.0993 Å, α = 90.00°, β = 108.24° and γ = 90.00°. The inequivalent atoms are Np at (0.0000, 0.2275, 0.2500), Cu at (0.1895, 0.2862, 0.3752), I at (0.0876, 0.3996, 0.4725), I at (0.1202, 0.2364, 0.0528), I at (0.1712, 0.1287, 0.5634) and Br at (0.0000, 0.0266, 0.2500).

=====

Looking at ρ for the records above, in order, we have 5.0; 7.3; 4.5 Mg/m³.
Looking at energy for the records above, in order, we have -4.2086; -4.6711; -3.6910 eV/atom.
Looking at Fermi-level density of states for the records above, in order, we have 19.26; 9.46; 47.01 states/eV per cell.